No. 1
Here is a geometry-optimized TlInH2 structure from the Alexandria database. Energies are from PBE-GGA.

The calculation puts the energy at -0.102 hartree per atom. The calculation puts the calculated density at 6.999 g/cm3. As for the symmetry: P1. The calculation puts the density of states at the Fermi level at 0.43 states/eV/f.u.

a = 3.262 Å, b = 5.829 Å, c = 8.672 Å
α = 73.97°, β = 79.53°, γ = 75.67°
Atoms (fractional coordinates):
Tl 0.883 0.120 0.163
H 0.064 0.654 0.201
H 0.458 0.260 0.836
Tl 0.663 0.705 0.967
In 0.291 0.925 0.508
H 0.483 0.312 0.745
In 0.036 0.489 0.425
H 0.212 0.852 0.730

***

No. 2
Here is a geometry-optimized TlInH2 structure from the Alexandria database. Energies are from PBE-GGA.

The calculation puts the energy at -0.097 hartree per atom. The calculation puts the calculated density at 7.560 g/cm3. As for the symmetry: Pmm2. The calculation puts the density of states at the Fermi level at 0.45 states/eV/f.u.

a = 3.188 Å, b = 4.066 Å, c = 5.443 Å
α = 90.00°, β = 90.00°, γ = 90.00°
Atoms (fractional coordinates):
Tl 0.500 0.500 0.365
H 0.000 0.000 0.554
In 0.000 0.000 0.900
H 0.000 0.500 0.923

***

No. 3
Here is a geometry-optimized TlIn3H2 structure from the Alexandria database. Energies are from PBE-GGA.

The calculation puts the energy at -0.098 hartree per atom. The calculation puts the calculated density at 7.093 g/cm3. As for the symmetry: C2/c. The calculation puts the density of states at the Fermi level at 1.26 states/eV/f.u.

a = 6.277 Å, b = 6.277 Å, c = 10.633 Å
α = 103.90°, β = 103.90°, γ = 130.97°
Atoms (fractional coordinates):
In 0.483 0.517 0.250
In 0.916 0.699 0.557
Tl 0.195 0.805 0.250
H 0.682 0.179 0.961
In 0.301 0.084 0.943
H 0.821 0.318 0.539
In 0.084 0.301 0.443
H 0.318 0.821 0.039
Tl 0.805 0.195 0.750
H 0.179 0.682 0.461
In 0.517 0.483 0.750
In 0.699 0.916 0.057

***

No. 4
Here is a geometry-optimized Tl2InH6 structure from the Alexandria database. Energies are from PBE-GGA.

The calculation puts the energy at -0.097 hartree per atom. The calculation puts the calculated density at 6.737 g/cm3. As for the symmetry: C2/m. The calculation puts the density of states at the Fermi level at 1.86 states/eV/f.u.

a = 4.473 Å, b = 5.808 Å, c = 5.810 Å
α = 120.12°, β = 89.99°, γ = 89.98°
Atoms (fractional coordinates):
In 0.000 0.000 0.000
Tl 0.500 0.667 0.333
H 0.759 0.277 0.277
H 0.241 0.723 0.723
H 0.239 0.277 0.000
Tl 0.500 0.333 0.667
H 0.760 0.000 0.724
H 0.239 0.000 0.276
H 0.761 0.723 0.000

***

No. 5
Here is a geometry-optimized TlInH2 structure from the Alexandria database. Energies are from PBE-GGA.

The calculation puts the energy at -0.104 hartree per atom. The calculation puts the calculated density at 6.744 g/cm3. As for the symmetry: P-1. The calculation puts the density of states at the Fermi level at 0.55 states/eV/f.u.

a = 6.247 Å, b = 3.270 Å, c = 8.535 Å
α = 75.71°, β = 101.13°, γ = 76.31°
Atoms (fractional coordinates):
Tl 0.384 0.435 0.820
H 0.139 0.128 0.097
In 0.500 0.000 0.500
In 0.000 0.500 0.500
Tl 0.616 0.565 0.180
H 0.058 0.113 0.152
H 0.861 0.872 0.903
H 0.942 0.887 0.848

***

No. 6
Here is a geometry-optimized Tl2InH2 structure from the Alexandria database. Energies are from PBE-GGA.

The calculation puts the energy at -0.102 hartree per atom. The calculation puts the calculated density at 7.354 g/cm3. As for the symmetry: C2/m. The calculation puts the density of states at the Fermi level at 1.07 states/eV/f.u.

a = 3.768 Å, b = 3.276 Å, c = 12.185 Å
α = 94.99°, β = 81.11°, γ = 54.90°
Atoms (fractional coordinates):
Tl 0.727 0.781 0.766
Tl 0.273 0.219 0.234
In 0.000 0.000 0.000
H 0.466 0.537 0.532
H 0.534 0.463 0.468

***

No. 7
Here is a geometry-optimized TlInH2 structure from the Alexandria database. Energies are from PBE-GGA.

The calculation puts the energy at -0.098 hartree per atom. The calculation puts the calculated density at 7.534 g/cm3. As for the symmetry: Pm. The calculation puts the density of states at the Fermi level at 0.44 states/eV/f.u.

a = 3.658 Å, b = 3.795 Å, c = 5.100 Å
α = 90.00°, β = 90.05°, γ = 90.00°
Atoms (fractional coordinates):
H 0.716 0.500 0.908
In 0.216 0.500 0.703
H 0.217 0.000 0.882
Tl 0.712 0.000 0.248

***

No. 8
Here is a geometry-optimized Tl2InH2 structure from the Alexandria database. Energies are from PBE-GGA.

The calculation puts the energy at -0.092 hartree per atom. The calculation puts the calculated density at 8.568 g/cm3. As for the symmetry: I4/mmm. The calculation puts the density of states at the Fermi level at 1.60 states/eV/f.u.

a = 3.718 Å, b = 3.718 Å, c = 7.825 Å
α = 76.26°, β = 76.26°, γ = 90.00°
Atoms (fractional coordinates):
H 0.750 0.250 0.500
H 0.250 0.750 0.500
In 0.000 0.000 0.000
Tl 0.656 0.656 0.688
Tl 0.344 0.344 0.312

***

No. 9
Here is a geometry-optimized TlInH2 structure from the Alexandria database. Energies are from PBE-GGA.

The calculation puts the energy at -0.088 hartree per atom. The calculation puts the calculated density at 7.913 g/cm3. As for the symmetry: Fm-3m. The calculation puts the density of states at the Fermi level at 0.71 states/eV/f.u.

a = 4.568 Å, b = 4.568 Å, c = 4.568 Å
α = 60.00°, β = 60.00°, γ = 60.00°
Atoms (fractional coordinates):
Tl 0.500 0.500 0.500
H 0.750 0.750 0.750
H 0.250 0.250 0.250
In 0.000 0.000 0.000

***

No. 10
Here is a geometry-optimized Y4TlInH structure from the Alexandria database. Energies are from PBE-GGA.

The calculation puts the energy at -0.195 hartree per atom. The calculation puts the calculated density at 6.321 g/cm3. As for the symmetry: Cmcm. The calculation puts the density of states at the Fermi level at 4.45 states/eV/f.u.

a = 6.480 Å, b = 6.479 Å, c = 9.057 Å
α = 90.00°, β = 110.96°, γ = 90.00°
Atoms (fractional coordinates):
Y 0.000 0.500 0.500
H 0.290 0.750 0.580
Tl 0.114 0.250 0.228
Y 0.000 0.000 0.500
Y 0.929 0.250 0.857
Y 0.071 0.750 0.143
Y 0.500 0.500 0.500
H 0.710 0.250 0.420
Y 0.427 0.750 0.854
Tl 0.886 0.750 0.772
In 0.615 0.750 0.229
Y 0.500 0.000 0.500
In 0.385 0.250 0.771
Y 0.573 0.250 0.146

***

No. 11
Here is a geometry-optimized Tm2InH structure from the Alexandria database. Energies are from PBE-GGA.

The calculation puts the energy at -0.151 hartree per atom. The calculation puts the calculated density at 8.791 g/cm3. As for the symmetry: P2_1/c. The calculation puts the density of states at the Fermi level at 2.21 states/eV/f.u.

a = 6.815 Å, b = 6.263 Å, c = 8.167 Å
α = 90.00°, β = 100.44°, γ = 90.00°
Atoms (fractional coordinates):
In 0.383 0.897 0.844
In 0.117 0.397 0.156
H 0.815 0.588 0.425
In 0.617 0.103 0.156
Tm 0.596 0.755 0.538
H 0.185 0.412 0.575
Tm 0.096 0.745 0.538
In 0.883 0.603 0.844
Tm 0.321 0.390 0.838
Tm 0.821 0.110 0.838
H 0.315 0.912 0.425
H 0.685 0.088 0.575
Tm 0.404 0.245 0.462
Tm 0.179 0.890 0.162
Tm 0.679 0.610 0.162
Tm 0.904 0.255 0.462

***

No. 12
Here is a geometry-optimized Tm2InH structure from the Alexandria database. Energies are from PBE-GGA.

The calculation puts the energy at -0.140 hartree per atom. The calculation puts the calculated density at 9.121 g/cm3. As for the symmetry: P4/mmm. The calculation puts the density of states at the Fermi level at 3.35 states/eV/f.u.

a = 3.305 Å, b = 3.305 Å, c = 7.563 Å
α = 90.00°, β = 90.00°, γ = 90.00°
Atoms (fractional coordinates):
In 0.500 0.500 0.500
H 0.500 0.500 0.000
Tm 0.000 0.000 0.210
Tm 0.000 0.000 0.790